# 1
The following is a GGA-PBE calculation of a relaxed Fe2SiOs crystal, from Alexandria.

As for the uncorrected formation energy: 0.126 eV per atom. The density of states at the Fermi level is 7.710 states/eV per cell.

abc: 2.8371 4.3725 8.0904
angles: 90.00 90.00 90.00
Space group Cmmm (No. 65)
Unique sites:
Fe 0.0000 0.0000 0.2322 x4
Si 0.0000 0.5000 0.0000 x2
Os 0.0000 0.5000 0.5000 x2

***

# 2
The following is a GGA-PBE calculation of a relaxed FeSi4Os crystal, from Alexandria.

As for the uncorrected formation energy: 0.599 eV per atom. The density of states at the Fermi level is 18.564 states/eV per cell.

abc: 6.7788 6.7788 6.7788
angles: 90.00 90.00 90.00
Space group F-43m (No. 216)
Unique sites:
Fe 0.0000 0.0000 0.0000 x4
Si 0.1252 0.1252 0.3748 x16
Os 0.2500 0.2500 0.7500 x4

***

# 3
The following is a GGA-PBE calculation of a relaxed Fe2SiOs crystal, from Alexandria.

As for the uncorrected formation energy: -0.162 eV per atom. The density of states at the Fermi level is 3.010 states/eV per cell.

abc: 2.9216 2.9216 5.6740
angles: 90.00 90.00 90.00
Space group P4mm (No. 99)
Unique sites:
Fe 0.0000 0.0000 0.0000 x1
Fe 0.5000 0.5000 0.2305 x1
Si 0.5000 0.5000 0.7690 x1
Os 0.0000 0.0000 0.5136 x1

***

# 4
The following is a GGA-PBE calculation of a relaxed FeSi2Os2 crystal, from Alexandria.

As for the uncorrected formation energy: -0.082 eV per atom. The density of states at the Fermi level is 8.744 states/eV per cell.

abc: 6.9357 6.9357 2.8228
angles: 90.00 90.00 90.00
Space group P4/mbm (No. 127)
Unique sites:
Fe 0.0000 0.0000 0.0000 x2
Si 0.1462 0.3538 0.0000 x4
Os 0.1516 0.6516 0.5000 x4

***

# 5
The following is a GGA-PBE calculation of a relaxed FeSiOs crystal, from Alexandria.

As for the uncorrected formation energy: 0.166 eV per atom. The density of states at the Fermi level is 10.176 states/eV per cell.

abc: 2.9237 4.5714 11.8139
angles: 90.00 90.00 90.00
Space group Fmm2 (No. 42)
Unique sites:
Fe 0.0000 0.0000 0.0000 x4
Si 0.0000 0.0000 0.3457 x4
Os 0.0000 0.0000 0.6833 x4

***

# 6
The following is a GGA-PBE calculation of a relaxed Fe2SiOs crystal, from Alexandria.

As for the uncorrected formation energy: 0.123 eV per atom. The density of states at the Fermi level is 5.701 states/eV per cell.

abc: 2.9214 4.4977 7.8565
angles: 90.00 90.00 90.00
Space group Cmm2 (No. 35)
Unique sites:
Fe 0.0000 0.0000 0.0000 x2
Fe 0.0000 0.5000 0.2479 x2
Si 0.0000 0.0000 0.4781 x2
Os 0.0000 0.5000 0.7245 x2

***

# 7
The following is a GGA-PBE calculation of a relaxed FeSiOs crystal, from Alexandria.

As for the uncorrected formation energy: -0.153 eV per atom. The density of states at the Fermi level is 5.205 states/eV per cell.

abc: 2.8569 2.8569 8.9790
angles: 90.00 90.00 90.00
Space group I4mm (No. 107)
Unique sites:
Fe 0.0000 0.0000 0.0000 x2
Si 0.0000 0.0000 0.6437 x2
Os 0.0000 0.0000 0.3105 x2

***

# 8
The following is a GGA-PBE calculation of a relaxed Fe2SiOs crystal, from Alexandria.

As for the uncorrected formation energy: -0.190 eV per atom. The density of states at the Fermi level is 15.380 states/eV per cell.

abc: 5.8083 5.8083 5.8083
angles: 90.00 90.00 90.00
Space group F-43m (No. 216)
Unique sites:
Fe 0.0000 0.0000 0.0000 x4
Fe 0.2500 0.2500 0.2500 x4
Si 0.2500 0.2500 0.7500 x4
Os 0.0000 0.0000 0.5000 x4

***

# 9
The following is a GGA-PBE calculation of a relaxed Fe3SiOs crystal, from Alexandria.

As for the excess energy over the best structure of this formula in the dataset: 0.406 eV per atom. As for the uncorrected formation energy: 1.581 eV per atom. The density of states at the Fermi level is 7.421 states/eV per cell.

abc: 4.5684 4.5684 4.5684
angles: 90.00 90.00 90.00
Space group Pm-3m (No. 221)
Unique sites:
Fe 0.0000 0.0000 0.5000 x3
Si 0.5000 0.5000 0.5000 x1
Os 0.0000 0.0000 0.0000 x1

***

# 10
The following is a GGA-PBE calculation of a relaxed Fe3SiOs crystal, from Alexandria.

As for the excess energy over the best structure of this formula in the dataset: 0.000 eV per atom. As for the uncorrected formation energy: 1.175 eV per atom. The density of states at the Fermi level is 11.999 states/eV per cell.

abc: 4.0456 4.0456 4.0456
angles: 90.00 90.00 90.00
Space group Pm-3m (No. 221)
Unique sites:
Fe 0.0000 0.0000 0.5000 x3
Si 0.0000 0.0000 0.0000 x1
Os 0.5000 0.5000 0.5000 x1

***

# 11
The following is a GGA-PBE calculation of a relaxed Fe2SiOs crystal, from Alexandria.

As for the uncorrected formation energy: 0.388 eV per atom. The density of states at the Fermi level is 22.652 states/eV per cell.

abc: 3.5185 3.5185 17.4114
angles: 90.00 90.00 90.00
Space group I-42d (No. 122)
Unique sites:
Fe 0.2256 0.2500 0.1250 x8
Si 0.0000 0.0000 0.0000 x4
Os 0.0000 0.0000 0.5000 x4

***

# 12
The following is a GGA-PBE calculation of a relaxed Fe2SiOs crystal, from Alexandria.

As for the uncorrected formation energy: -0.148 eV per atom. The density of states at the Fermi level is 9.088 states/eV per cell.

abc: 2.8534 4.0600 8.3671
angles: 90.00 90.00 90.00
Space group Immm (No. 71)
Unique sites:
Fe 0.0000 0.0000 0.2391 x4
Si 0.0000 0.5000 0.5000 x2
Os 0.0000 0.5000 0.0000 x2